1.
Here is an optimized crystal structure of MgRu3N from Alexandria via LeMat-Bulk. Energies are from PBE-GGA.

a = 4.4879 Å, b = 4.4879 Å, c = 4.4879 Å
α = 90.00°, β = 90.00°, γ = 90.00°
Each line ends with the local moment (μB).
Element x y z (fractional)
Ru (0.0000, 0.5000, 0.0000)  0.99
Ru (0.0000, 0.0000, 0.5000)  0.90
Ru (0.5000, 0.0000, 0.0000)  0.94
Mg (0.0000, 0.0000, 0.0000)  -0.01
N (0.5000, 0.5000, 0.5000)  -0.70

Offset from the most stable computed form in eV per atom: 2.976
Energy relative to the elements, uncorrected in eV per atom: 3.003

***

2.
Here is an optimized crystal structure of MgRuN3 from Alexandria via LeMat-Bulk. Energies are from PBE-GGA.

a = 3.8499 Å, b = 3.8499 Å, c = 3.8499 Å
α = 90.00°, β = 90.00°, γ = 90.00°
Element x y z (fractional)
Ru (0.0000, 0.0000, 0.0000)
Mg (0.5000, 0.5000, 0.5000)
N (0.0000, 0.5000, 0.0000)
N (0.0000, 0.0000, 0.5000)
N (0.5000, 0.0000, 0.0000)

Energy relative to the elements, uncorrected in eV per atom: 0.836

***

3.
Here is an optimized crystal structure of MgRu2N from Alexandria via LeMat-Bulk. Energies are from PBE-GGA.

a = 6.6749 Å, b = 6.6749 Å, c = 5.3204 Å
α = 51.15°, β = 51.15°, γ = 90.00°
Element x y z (fractional)
Ru (0.5027, 0.1250, 0.2500)
Ru (0.2473, 0.6250, 0.2500)
Ru (0.3750, 0.4973, 0.7500)
Ru (0.8750, 0.7527, 0.7500)
Mg (0.0000, 0.0000, 0.0000)
Mg (0.7500, 0.2500, 0.5000)
N (0.5000, 0.5000, 0.0000)
N (0.2500, 0.7500, 0.5000)

Offset from the most stable computed form in eV per atom: 0.000
Energy relative to the elements, uncorrected in eV per atom: 0.124

***

4.
Here is an optimized crystal structure of Mg3RuN from Alexandria via LeMat-Bulk. Energies are from PBE-GGA.

a = 4.9333 Å, b = 4.9333 Å, c = 4.9333 Å
α = 90.00°, β = 90.00°, γ = 90.00°
Each line ends with the local moment (μB).
Element x y z (fractional)
Ru (0.0000, 0.0000, 0.0000)  0.32
Mg (0.0000, 0.5000, 0.0000)  -0.03
Mg (0.0000, 0.0000, 0.5000)  -0.01
Mg (0.5000, 0.0000, 0.0000)  -0.01
N (0.5000, 0.5000, 0.5000)  1.43

Energy relative to the elements, uncorrected in eV per atom: 1.344

***

5.
Here is an optimized crystal structure of Mg2RuN from Alexandria via LeMat-Bulk. Energies are from PBE-GGA.

a = 8.2310 Å, b = 8.2310 Å, c = 6.1295 Å
α = 47.82°, β = 47.82°, γ = 90.00°
Element x y z (fractional)
Ru (0.0000, 0.0000, 0.0000)
Ru (0.7500, 0.2500, 0.5000)
Mg (0.4736, 0.1250, 0.2500)
Mg (0.2764, 0.6250, 0.2500)
Mg (0.3750, 0.5264, 0.7500)
Mg (0.8750, 0.7236, 0.7500)
N (0.5000, 0.5000, 0.0000)
N (0.2500, 0.7500, 0.5000)

Energy relative to the elements, uncorrected in eV per atom: -0.016

***

6.
Here is an optimized crystal structure of Mg4RuN4 from Alexandria via LeMat-Bulk. Energies are from PBE-GGA.

a = 5.4208 Å, b = 5.4389 Å, c = 8.1095 Å
α = 106.11°, β = 87.24°, γ = 109.38°
Element x y z (fractional)
Mg (0.7340, 0.1621, 0.7903)
Mg (0.2660, 0.8379, 0.2097)
Mg (0.7340, 0.7357, 0.0004)
Mg (0.2660, 0.2643, 0.9996)
Mg (0.7374, 0.9474, 0.4153)
Mg (0.2626, 0.0526, 0.5847)
Mg (0.2536, 0.4729, 0.4091)
Mg (0.7464, 0.5271, 0.5910)
Ru (0.7444, 0.3712, 0.2246)
Ru (0.2556, 0.6288, 0.7754)
N (0.9901, 0.7053, 0.3848)
N (0.0099, 0.2947, 0.6152)
N (0.8494, 0.1689, 0.0326)
N (0.1506, 0.8311, 0.9674)
N (0.5047, 0.6002, 0.2047)
N (0.4953, 0.3998, 0.7953)
N (0.5105, 0.7987, 0.6213)
N (0.4895, 0.2013, 0.3787)

Energy relative to the elements, uncorrected in eV per atom: -0.363

***

7.
Here is an optimized crystal structure of MgRu2N from Alexandria via LeMat-Bulk. Energies are from PBE-GGA.

a = 4.1428 Å, b = 4.1428 Å, c = 4.1428 Å
α = 60.00°, β = 60.00°, γ = 60.00°
Element x y z (fractional)
Ru (0.2500, 0.2500, 0.2500)
Ru (0.7500, 0.7500, 0.7500)
Mg (0.5000, 0.5000, 0.5000)
N (0.0000, 0.0000, 0.0000)

Offset from the most stable computed form in eV per atom: 1.100
Energy relative to the elements, uncorrected in eV per atom: 1.224

***

8.
Here is an optimized crystal structure of MgRuS2N from Alexandria via LeMat-Bulk. Energies are from PBE-GGA.

a = 4.8631 Å, b = 4.8631 Å, c = 3.6456 Å
α = 90.00°, β = 90.00°, γ = 90.00°
Element x y z (fractional)
Ru (0.0000, 0.0000, 0.0000)
S (0.0000, 0.5000, 0.0000)
S (0.5000, 0.0000, 0.0000)
Mg (0.5000, 0.5000, 0.5000)
N (0.0000, 0.0000, 0.5000)

Offset from the most stable computed form in eV per atom: 0.000
Energy relative to the elements, uncorrected in eV per atom: 0.043